Density functional theory data (PBEsol) for a geometry-optimized MgNi2Se structure.

Unit cell a=3.0201 b=3.8418 c=4.9400 alpha=90.00 beta=90.00 gamma=90.00
Space group Pmmm (No. 47)
One atom of each set of equivalent atoms:
Mg (0.0000, 0.0000, 0.0000) x1
Ni (0.5000, 0.5000, 0.2418) x2
Se (0.5000, 0.0000, 0.5000) x1

Calculated values
Density   6.393 g cm⁻³
Raw formation energy   -0.149 eV/atom
Raw total energy   -4.620 eV/atom

=====

Density functional theory data (PBEsol) for a geometry-optimized MgNiSe2 structure.

Unit cell a=3.5377 b=3.5377 c=22.8848 alpha=90.00 beta=90.00 gamma=120.00
Space group R-3m (No. 166, hexagonal axes)
One atom of each set of equivalent atoms:
Mg (0.0000, 0.0000, 0.0000) x3
Ni (0.0000, 0.0000, 0.5000) x3
Se (0.0000, 0.0000, 0.1126) x6

Calculated values
Density   4.839 g cm⁻³
Raw formation energy   -0.293 eV/atom
Raw total energy   -4.187 eV/atom

=====

Density functional theory data (PBEsol) for a geometry-optimized MgNiSe2 structure.

Unit cell a=3.5526 b=3.5526 c=11.4501 alpha=90.00 beta=90.00 gamma=90.00
Space group I-4m2 (No. 119)
One atom of each set of equivalent atoms:
Mg (0.0000, 0.0000, 0.0000) x2
Ni (0.0000, 0.5000, 0.2500) x2
Se (0.0000, 0.0000, 0.5000) x2
Se (0.0000, 0.5000, 0.7500) x2

Calculated values
Density   5.537 g cm⁻³
Raw formation energy   -0.219 eV/atom
Raw total energy   -4.113 eV/atom

=====

Density functional theory data (PBEsol) for a geometry-optimized MgSi2Ni structure.

Unit cell a=5.2006 b=7.5800 c=2.7179 alpha=90.00 beta=90.00 gamma=90.00
Space group Cmmm (No. 65)
One atom of each set of equivalent atoms:
Mg (0.0000, 0.0000, 0.0000) x2
Si (0.2500, 0.2500, 0.5000) x4
Ni (0.0000, 0.5000, 0.0000) x2

Calculated values
Density   4.314 g cm⁻³
Raw formation energy   -0.020 eV/atom
Raw total energy   -4.862 eV/atom

=====

Density functional theory data (PBEsol) for a geometry-optimized MgSi2Ni structure.

Unit cell a=7.3207 b=3.0317 c=6.1403 alpha=90.00 beta=116.23 gamma=90.00
Space group Cm (No. 8)
One atom of each set of equivalent atoms:
Mg (0.0000, 0.0000, 0.0000) x2
Si (0.1472, 0.0000, 0.6712) x2
Si (0.4239, 0.0000, 0.3230) x2
Ni (0.2801, 0.5000, 0.4867) x2

Calculated values
Density   3.781 g cm⁻³
Raw formation energy   -0.187 eV/atom
Raw total energy   -5.029 eV/atom

=====

Density functional theory data (PBEsol) for a geometry-optimized MgSiNi2 structure.

Unit cell a=3.9848 b=3.9848 c=2.9559 alpha=90.00 beta=90.00 gamma=90.00
Space group P4/mmm (No. 123)
One atom of each set of equivalent atoms:
Mg (0.0000, 0.0000, 0.0000) x1
Si (0.5000, 0.5000, 0.0000) x1
Ni (0.0000, 0.5000, 0.5000) x2

Calculated values
Density   6.007 g cm⁻³
Raw formation energy   -0.381 eV/atom
Raw total energy   -5.326 eV/atom

=====

Density functional theory data (PBEsol) for a geometry-optimized MgSi2Ni structure.

Unit cell a=7.3706 b=3.0169 c=5.5828 alpha=90.00 beta=103.33 gamma=90.00
Space group C2/m (No. 12)
One atom of each set of equivalent atoms:
Mg (0.0000, 0.0000, 0.0000) x2
Si (0.2352, 0.0000, 0.6744) x4
Ni (0.0000, 0.5000, 0.5000) x2

Calculated values
Density   3.826 g cm⁻³
Raw formation energy   -0.209 eV/atom
Raw total energy   -5.051 eV/atom

=====

Density functional theory data (PBEsol) for a geometry-optimized MgNi2Sn structure.

Unit cell a=6.0775 b=6.0775 c=6.0775 alpha=90.00 beta=90.00 gamma=90.00
Space group Fm-3m (No. 225)
One atom of each set of equivalent atoms:
Mg (0.0000, 0.0000, 0.0000) x4
Ni (0.2500, 0.2500, 0.2500) x8
Sn (0.0000, 0.0000, 0.5000) x4

Calculated values
Density   7.705 g cm⁻³
Raw total energy   -4.869 eV/atom
Formation enthalpy at 0 K   -296 meV per atom

=====

no.,total magnetization (μB per formula unit)
1,0.0
2,0.0
3,0.0
4,0.0
5,0.0
6,0.0
7,0.0
8,0.0